## NbOs2Ru5 (PBE)

Data for a relaxed structure of NbOs2Ru5.

a b c (Å): 5.4996 5.4997 5.1890
angles (deg): 105.56 105.56 119.59
Atoms (fractional coordinates):
1 Ru 0.7399 0.8158 0.5000
2 Ru 0.3201 0.2356 0.0000
3 Ru 0.2399 0.3158 0.5000
4 Ru 0.8184 0.2425 0.0000
5 Ru 0.3133 0.7374 0.0000
6 Os 0.2438 0.8233 0.5113
7 Os 0.7325 0.3120 0.4887
8 Nb 0.8150 0.7406 0.0000

Output
Symmetry: Fmm2 (42)
Energy of formation from the pure elements, eV/f.u.: -0.8
Crystal system: orthorhombic
Electronic total energy, eV per atom: -9.961

=====

## BaTlFeGe2 (PBE)

Data for a relaxed structure of BaTlFeGe2.

a b c (Å): 4.8744 5.2922 4.8744
angles (deg): 90.00 90.00 90.00
Atoms (fractional coordinates):
1 Tl 0.0000 0.5000 0.0000
2 Ge 0.0000 0.0000 0.5000
3 Ge 0.5000 0.0000 0.0000
4 Fe 0.0000 0.0000 0.0000
5 Ba 0.5000 0.5000 0.5000

Output
Symmetry: P4/mmm (123)
Energy of formation from the pure elements, eV/f.u.: -0.1
Crystal system: tetragonal
Electronic total energy, eV per atom: -4.409

=====

## LaGe3P (PBE)

Data for a relaxed structure of LaGe3P.

a b c (Å): 4.8761 4.8761 4.8761
angles (deg): 90.00 90.00 90.00
Atoms (fractional coordinates):
1 La 0.5000 0.5000 0.5000
2 P 0.0000 0.0000 0.0000
3 Ge 0.0000 0.5000 0.0000
4 Ge 0.5000 0.0000 0.0000
5 Ge 0.0000 0.0000 0.5000

Output
Symmetry: Pm-3m (221)
Energy of formation from the pure elements, eV/f.u.: 0.2
Crystal system: cubic
E above lowest polymorph, meV/atom: 0.0
Electronic total energy, eV per atom: -4.801

=====

## Zn2Pd2Pt5 (PBE)

Data for a relaxed structure of Zn2Pd2Pt5.

a b c (Å): 3.9683 8.4055 8.2595
angles (deg): 146.66 90.00 103.65
Atoms (fractional coordinates):
1 Zn 0.3393 0.6787 0.5612
2 Zn 0.6607 0.3213 0.4388
3 Pd 0.6687 0.3373 0.7771
4 Pd 0.3313 0.6627 0.2229
5 Pt 0.0002 0.0004 0.3325
6 Pt 0.3311 0.6622 0.8733
7 Pt 0.0000 0.0000 0.0000
8 Pt 0.6689 0.3378 0.1267
9 Pt 0.9998 0.9996 0.6675

Output
Symmetry: C2/m (12)
Energy of formation from the pure elements, eV/f.u.: -2.6
Crystal system: monoclinic
E above lowest polymorph, meV/atom: 0.0
Electronic total energy, eV per atom: -5.077

=====

## Ac4HoAu5 (PBE)

Data for a relaxed structure of Ac4HoAu5.

a b c (Å): 3.8251 3.8251 19.4282
angles (deg): 90.00 90.00 90.00
Atoms (fractional coordinates):
1 Au 0.5000 0.5000 0.5000
2 Au 0.5000 0.5000 0.9187
3 Au 0.5000 0.5000 0.0813
4 Au 0.5000 0.5000 0.2939
5 Au 0.5000 0.5000 0.7061
6 Ho 0.0000 0.0000 0.0000
7 Ac 0.0000 0.0000 0.6031
8 Ac 0.0000 0.0000 0.8092
9 Ac 0.0000 0.0000 0.1908
10 Ac 0.0000 0.0000 0.3969

Output
Symmetry: P4/mmm (123)
Energy of formation from the pure elements, eV/f.u.: -7.8
Crystal system: tetragonal
Electronic total energy, eV per atom: -4.515

=====

## AcPrRhI (PBE)

Data for a relaxed structure of AcPrRhI.

a b c (Å): 4.2861 4.2861 8.8359
angles (deg): 90.00 104.04 120.00
Atoms (fractional coordinates):
1 Rh 0.3093 0.5526 0.8772
2 Pr 0.0951 0.9455 0.0560
3 Ac 0.5160 0.1559 0.6873
4 I 0.9574 0.3768 0.3491

Output
Symmetry: R3m (160)
Formation energy (no corrections), eV/atom: -0.982
Crystal system: trigonal
Electronic total energy, eV per atom: -5.429

=====

- What is the formula in the first record?
  NbOs2Ru5